Run P
{"formula": "KYNF2", "functional": "PBE", "state": "relaxed", "lattice_angstrom": [[-2.645, -1.169, 3.252], [3.237, -3.288, 1.451], [1.860, 2.969, 2.580]], "species": ["Y", "K", "N", "F", "F"], "frac_coords": [[0.500, 0.500, 0.500], [0.000, 0.000, 0.000], [0.000, 0.500, 0.000], [0.000, 0.000, 0.500], [0.500, 0.000, 0.000]], "magmom_total_mub_per_atom": 0.20, "mass_density_g_cm3": 3.3}

Run Q
{"formula": "KYNF2", "functional": "PBE", "state": "relaxed", "lattice_angstrom": [[4.522, 0.000, 0.000], [0.000, 4.522, 0.000], [0.000, 0.000, 4.460]], "species": ["Y", "K", "N", "F", "F"], "frac_coords": [[0.000, 0.000, 0.000], [0.500, 0.500, 0.500], [0.000, 0.000, 0.500], [0.000, 0.500, 0.000], [0.500, 0.000, 0.000]], "magmom_total_mub_per_atom": 0.20, "mass_density_g_cm3": 3.3}

Decreasing stability: run Q, run P

Run P
{"formula": "KYN2F", "functional": "PBE", "state": "relaxed", "lattice_angstrom": [[4.717, 0.000, 0.000], [0.000, 4.717, 0.000], [0.000, 0.000, 4.466]], "species": ["Y", "K", "N", "N", "F"], "frac_coords": [[0.000, 0.000, 0.000], [0.500, 0.500, 0.500], [0.000, 0.500, 0.000], [0.500, 0.000, 0.000], [0.000, 0.000, 0.500]], "magmom_total_mub_per_atom": 0.60, "mass_density_g_cm3": 2.9}

Run Q
{"formula": "KYN2F", "functional": "PBE", "state": "relaxed", "lattice_angstrom": [[-0.199, 3.475, -2.461], [-4.021, -0.964, -1.036], [-1.426, 2.314, 3.382]], "species": ["Y", "K", "N", "N", "F"], "frac_coords": [[0.500, 0.500, 0.500], [0.000, 0.000, 0.000], [0.000, 0.500, 0.000], [0.500, 0.000, 0.000], [0.000, 0.000, 0.500]], "magmom_total_mub_per_atom": 0.10, "mass_density_g_cm3": 3.7}

Decreasing stability: run P, run Q

Run P
{"formula": "KZrN2F", "functional": "PBE", "state": "relaxed", "lattice_angstrom": [[4.227, 0.000, 0.000], [0.000, 4.227, 0.000], [0.000, 0.000, 4.484]], "species": ["K", "N", "N", "Zr", "F"], "frac_coords": [[0.500, 0.500, 0.500], [0.000, 0.500, 0.000], [0.500, 0.000, 0.000], [0.000, 0.000, 0.000], [0.000, 0.000, 0.500]], "magmom_total_mub_per_atom": 0.08, "mass_density_g_cm3": 3.7}

Run Q
{"formula": "KZrN2F", "functional": "PBE", "state": "relaxed", "lattice_angstrom": [[4.225, 0.000, 0.000], [0.000, 4.225, 0.000], [0.000, 0.000, 4.132]], "species": ["K", "N", "N", "Zr", "F"], "frac_coords": [[0.000, 0.000, 0.000], [0.000, 0.500, 0.000], [0.500, 0.000, 0.000], [0.500, 0.500, 0.500], [0.000, 0.000, 0.500]], "magmom_total_mub_per_atom": 0.00, "mass_density_g_cm3": 4.0}

Decreasing stability: run P, run Q